Density functional theory data (PBE) for a relaxed structure of ZnW2.

SG	P-3m1 (164)
DFT formation energy	188	meV/atom

abc: 4.4828 4.4828 2.6984
angles: 90.00 90.00 120.00
Atoms (fractional coordinates):
Zn 0.0000 0.0000 0.0000
W 0.3333 0.6667 0.3504
W 0.6667 0.3333 0.6496